## one
Compound: YTcAs
Source: Alexandria
Functional: PBE
Structure: relaxed

Calculated values
For the volume, the calculation gives 70.2 Å³/f.u.

Cell: 4.631 4.631 4.631 Å, 60.00 60.00 60.00°
Element x y z (fractional)
Y 0.000 0.000 0.000
Tc 0.250 0.250 0.250
As 0.750 0.750 0.750

---

## two
Compound: YTcAs
Source: Alexandria
Functional: PBE
Structure: relaxed

Calculated values
For the volume, the calculation gives 63.7 Å³/f.u.

Cell: 4.484 4.484 4.484 Å, 60.00 60.00 60.00°
Element x y z (fractional)
Y 0.000 0.000 0.000
Tc 0.500 0.500 0.500
As 0.250 0.250 0.250

---

## three
Compound: YTcAs
Source: Alexandria
Functional: PBE
Structure: relaxed

Calculated values
For the volume, the calculation gives 60.0 Å³/f.u.

Cell: 4.314 4.314 3.722 Å, 90.00 90.00 120.00°
Element x y z (fractional)
Y 0.000 0.000 0.000
Tc 0.333 0.667 0.500
As 0.667 0.333 0.500

---

## four
Compound: YTcAs
Source: Alexandria
Functional: PBE
Structure: relaxed

Calculated values
For the volume, the calculation gives 63.3 Å³/f.u.

Cell: 3.652 3.652 5.482 Å, 90.00 90.00 120.00°
Element x y z (fractional)
Y 0.000 0.000 0.000
Tc 0.333 0.667 0.578
As 0.667 0.333 0.354

---

Which is most stable? The ranking, best first, is three, four, two, one.

---

## one
Compound: YTcAs
Source: Alexandria
Functional: PBE
Structure: relaxed

Calculated values
For the volume, the calculation gives 68.6 Å³/f.u.

Cell: 8.518 8.518 8.180 Å, 92.40 92.40 27.59°
Element x y z (fractional)
Y 0.050 0.050 0.325
Y 0.392 0.392 0.111
Y 0.608 0.608 0.889
Y 0.950 0.950 0.675
Tc 0.243 0.243 0.860
Tc 0.253 0.253 0.402
Tc 0.747 0.747 0.598
Tc 0.757 0.757 0.140
As 0.146 0.146 0.622
As 0.175 0.175 0.123
As 0.825 0.825 0.877
As 0.854 0.854 0.378

---

## two
Compound: YTcAs
Source: Alexandria
Functional: PBE
Structure: relaxed

Calculated values
For the volume, the calculation gives 57.3 Å³/f.u.

Cell: 5.771 5.771 5.771 Å, 146.83 146.83 47.62°
Element x y z (fractional)
Y 0.000 0.000 0.000
Tc 0.694 0.694 0.000
As 0.298 0.298 0.000

---

Which is most stable? The ranking, best first, is two, one.

---

## one
Compound: ZnTc2As2
Source: Alexandria
Functional: PBE
Structure: relaxed

Calculated values
For the volume, the calculation gives 78.1 Å³/f.u.

Cell: 7.078 7.078 3.119 Å, 90.00 90.00 90.00°
Element x y z (fractional)
Zn 0.000 0.000 0.000
Zn 0.500 0.500 0.000
Tc 0.147 0.353 0.000
Tc 0.353 0.853 0.000
Tc 0.647 0.147 0.000
Tc 0.853 0.647 0.000
As 0.148 0.648 0.500
As 0.352 0.148 0.500
As 0.648 0.852 0.500
As 0.852 0.352 0.500

---

## two
Compound: ZnTc2As2
Source: Alexandria
Functional: PBE
Structure: relaxed

Calculated values
For the volume, the calculation gives 77.7 Å³/f.u.

Cell: 7.201 7.201 2.996 Å, 90.00 90.00 90.00°
Element x y z (fractional)
Zn 0.000 0.000 0.000
Zn 0.500 0.500 0.000
Tc 0.151 0.349 0.500
Tc 0.349 0.849 0.500
Tc 0.651 0.151 0.500
Tc 0.849 0.651 0.500
As 0.146 0.646 0.000
As 0.354 0.146 0.000
As 0.646 0.854 0.000
As 0.854 0.354 0.000

---

## three
Compound: ZnTc2As2
Source: Alexandria
Functional: PBE
Structure: relaxed

Calculated values
For the volume, the calculation gives 87.3 Å³/f.u.

Cell: 5.536 5.536 5.536 Å, 133.65 133.65 67.63°
Element x y z (fractional)
Zn 0.000 0.000 0.000
Tc 0.250 0.750 0.500
Tc 0.750 0.250 0.500
As 0.369 0.369 0.000
As 0.631 0.631 0.000

---

Which is most stable? The ranking, best first, is one, three, two.

---

## one
Compound: ZrTcAs2
Source: Alexandria
Functional: PBE
Structure: relaxed

Calculated values
For the volume, the calculation gives 67.1 Å³/f.u.

Cell: 4.562 4.562 3.224 Å, 90.00 90.00 90.00°
Element x y z (fractional)
Zr 0.000 0.000 0.000
Tc 0.500 0.500 0.000
As 0.000 0.500 0.500
As 0.500 0.000 0.500

---

## two
Compound: ZrTcAs2
Source: Alexandria
Functional: PBE
Structure: relaxed

Calculated values
For the volume, the calculation gives 71.7 Å³/f.u.

Cell: 6.340 6.340 6.340 Å, 148.14 147.68 46.02°
Element x y z (fractional)
Zr 0.000 0.000 0.000
Tc 0.748 0.248 0.500
As 0.323 0.823 0.500
As 0.589 0.589 0.000

---

Which is most stable? The ranking, best first, is two, one.